Entry 1
A plane-wave DFT calculation with PBE was carried out for a relaxed BaNCl3 crystal.

Cell lengths 6.157, 6.157, 6.157 Å; angles 90.00, 90.00, 90.00 degrees
Space group Pm-3m (No. 221)
Asymmetric unit:
Ba (0.000, 0.000, 0.000) x1
N (0.500, 0.500, 0.500) x1
Cl (0.000, 0.000, 0.500) x3

M_tot (μB/atom): 0.80
Mass density (g cm⁻³): 1.833

Entry 2
A plane-wave DFT calculation with PBE was carried out for a relaxed BaNCl3 crystal.

Cell lengths 4.760, 4.760, 4.760 Å; angles 90.00, 90.00, 90.00 degrees
Space group Pm-3m (No. 221)
Asymmetric unit:
Ba (0.000, 0.000, 0.000) x1
N (0.500, 0.500, 0.500) x1
Cl (0.000, 0.500, 0.500) x3

M_tot (μB/atom): 0.00
Mass density (g cm⁻³): 3.968

Which structure is the most stable? The one labeled entry 2.

Entry 1
A plane-wave DFT calculation with PBE was carried out for a relaxed BaNCl2 crystal.

Cell lengths 14.702, 4.852, 8.373 Å; angles 90.00, 91.89, 90.00 degrees
Space group C2/m (No. 12)
Asymmetric unit:
Ba (0.233, 0.000, 0.244) x4
N (0.017, 0.000, 0.256) x4
Cl (0.151, 0.500, 0.058) x4
Cl (0.165, 0.000, 0.594) x4

M_tot (μB/atom): 0.74
Mass density (g cm⁻³): 2.473

Entry 2
A plane-wave DFT calculation with PBE was carried out for a relaxed BaNCl2 crystal.

Cell lengths 5.1406, 5.1406, 18.8644 Å; angles 90.00, 90.00, 120.00 degrees
Space group R-3m (No. 166, hexagonal axes)
Asymmetric unit:
Ba (0.0000, 0.0000, 0.0000) x3
N (0.0000, 0.0000, 0.5000) x3
Cl (0.0000, 0.0000, 0.3853) x6

M_tot (μB/atom): 0.25
Mass density (g cm⁻³): 2.564

Entry 3
A plane-wave DFT calculation with PBE was carried out for a relaxed BaNCl2 crystal.

Cell lengths 6.485, 6.485, 16.762 Å; angles 90.00, 90.00, 90.00 degrees
Space group I-42d (No. 122)
Asymmetric unit:
Ba (0.000, 0.000, 0.000) x4
N (0.000, 0.000, 0.500) x4
Cl (0.207, 0.250, 0.125) x8

M_tot (μB/atom): 0.75
Mass density (g cm⁻³): 2.094

Entry 4
A plane-wave DFT calculation with PBE was carried out for a relaxed BaNCl2 crystal.

Cell lengths 7.470, 7.470, 7.470 Å; angles 90.00, 90.00, 90.00 degrees
Space group Fm-3m (No. 225)
Asymmetric unit:
Ba (0.000, 0.000, 0.000) x4
N (0.000, 0.000, 0.500) x4
Cl (0.250, 0.250, 0.250) x8

M_tot (μB/atom): 0.75
Mass density (g cm⁻³): 3.541

Which structure is the most stable? The one labeled entry 4.

Entry 1
A plane-wave DFT calculation with PBE was carried out for a relaxed Ba3NCl2 crystal.

Cell lengths 15.879, 8.762, 6.447 Å; angles 90.00, 90.00, 90.00 degrees
Space group Cmc2_1 (No. 36)
Asymmetric unit:
Ba (0.000, 0.136, 0.000) x4
Ba (0.126, 0.323, 0.473) x8
N (0.000, 0.154, 0.414) x4
Cl (0.181, 0.307, 0.972) x8

M_tot (μB/atom): 0.14
Mass density (g cm⁻³): 3.680

Entry 2
A plane-wave DFT calculation with PBE was carried out for a relaxed Ba3NCl2 crystal.

Cell lengths 13.837, 7.895, 7.587 Å; angles 90.00, 90.00, 90.00 degrees
Space group Cmc2_1 (No. 36)
Asymmetric unit:
Ba (0.000, 0.103, 0.000) x4
Ba (0.126, 0.440, 0.345) x8
N (0.000, 0.420, 0.068) x4
Cl (0.163, 0.166, 0.681) x8

M_tot (μB/atom): 0.15
Mass density (g cm⁻³): 3.982

Which structure is the most stable? The one labeled entry 1.

Entry 1
A plane-wave DFT calculation with PBE was carried out for a relaxed BaP2NCl crystal.

Cell lengths 4.120, 4.120, 6.369 Å; angles 90.00, 90.00, 90.00 degrees
Space group P4/mmm (No. 123)
Asymmetric unit:
Ba (0.000, 0.000, 0.000) x1
P (0.000, 0.500, 0.500) x2
N (0.500, 0.500, 0.500) x1
Cl (0.500, 0.500, 0.000) x1

M_tot (μB/atom): 0.03
Mass density (g cm⁻³): 3.821

Entry 2
A plane-wave DFT calculation with PBE was carried out for a relaxed BaP2NCl crystal.

Cell lengths 6.684, 6.684, 5.970 Å; angles 90.00, 90.00, 90.00 degrees
Space group P4/mmm (No. 123)
Asymmetric unit:
Ba (0.000, 0.000, 0.000) x1
P (0.000, 0.500, 0.000) x2
N (0.500, 0.500, 0.500) x1
Cl (0.000, 0.000, 0.500) x1

M_tot (μB/atom): 1.60
Mass density (g cm⁻³): 1.549

Which structure is the most stable? The one labeled entry 1.

Entry 1
A plane-wave DFT calculation with PBE was carried out for a relaxed BaS2NCl crystal.

Cell lengths 4.233, 4.233, 5.908 Å; angles 90.00, 90.00, 90.00 degrees
Space group P4/mmm (No. 123)
Asymmetric unit:
Ba (0.000, 0.000, 0.000) x1
S (0.000, 0.500, 0.500) x2
N (0.500, 0.500, 0.500) x1
Cl (0.500, 0.500, 0.000) x1

M_tot (μB/atom): 0.26
Mass density (g cm⁻³): 3.936

Entry 2
A plane-wave DFT calculation with PBE was carried out for a relaxed BaS2NCl crystal.

Cell lengths 6.461, 6.461, 5.987 Å; angles 90.00, 90.00, 90.00 degrees
Space group P4/mmm (No. 123)
Asymmetric unit:
Ba (0.000, 0.000, 0.000) x1
S (0.000, 0.500, 0.000) x2
N (0.500, 0.500, 0.500) x1
Cl (0.000, 0.000, 0.500) x1

M_tot (μB/atom): 1.20
Mass density (g cm⁻³): 1.667

Entry 3
A plane-wave DFT calculation with PBE was carried out for a relaxed BaS2NCl crystal.

Cell lengths 5.127, 5.127, 4.281 Å; angles 90.00, 90.00, 90.00 degrees
Space group P4/mmm (No. 123)
Asymmetric unit:
Ba (0.000, 0.000, 0.000) x1
S (0.000, 0.500, 0.500) x2
N (0.500, 0.500, 0.000) x1
Cl (0.500, 0.500, 0.500) x1

M_tot (μB/atom): 0.43
Mass density (g cm⁻³): 3.703

Which structure is the most stable? The one labeled entry 1.

Entry 1
A plane-wave DFT calculation with PBE was carried out for a relaxed BaSN2Cl crystal.

Cell lengths 4.427, 4.427, 4.670 Å; angles 90.00, 90.00, 90.00 degrees
Space group P4/mmm (No. 123)
Asymmetric unit:
Ba (0.000, 0.000, 0.000) x1
S (0.500, 0.500, 0.000) x1
N (0.000, 0.500, 0.500) x2
Cl (0.500, 0.500, 0.500) x1

M_tot (μB/atom): 0.40
Mass density (g cm⁻³): 4.225

Entry 2
A plane-wave DFT calculation with PBE was carried out for a relaxed BaSN2Cl crystal.

Cell lengths 5.404, 5.404, 6.414 Å; angles 90.00, 90.00, 90.00 degrees
Space group P4/mmm (No. 123)
Asymmetric unit:
Ba (0.000, 0.000, 0.000) x1
S (0.000, 0.000, 0.500) x1
N (0.000, 0.500, 0.000) x2
Cl (0.500, 0.500, 0.500) x1

M_tot (μB/atom): 1.40
Mass density (g cm⁻³): 2.064

Which structure is the most stable? The one labeled entry 1.

Entry 1
A plane-wave DFT calculation with PBE was carried out for a relaxed BaSe2NCl crystal.

Cell lengths 6.548, 6.548, 5.381 Å; angles 90.00, 90.00, 90.00 degrees
Space group P4/mmm (No. 123)
Asymmetric unit:
Ba (0.000, 0.000, 0.000) x1
Se (0.000, 0.500, 0.000) x2
N (0.000, 0.000, 0.500) x1
Cl (0.500, 0.500, 0.500) x1

M_tot (μB/atom): 1.20
Mass density (g cm⁻³): 2.481

Entry 2
A plane-wave DFT calculation with PBE was carried out for a relaxed BaSe2NCl crystal.

Cell lengths 5.376, 5.376, 4.348 Å; angles 90.00, 90.00, 90.00 degrees
Space group P4/mmm (No. 123)
Asymmetric unit:
Ba (0.000, 0.000, 0.000) x1
Se (0.000, 0.500, 0.500) x2
N (0.500, 0.500, 0.000) x1
Cl (0.500, 0.500, 0.500) x1

M_tot (μB/atom): 0.43
Mass density (g cm⁻³): 4.554

Which structure is the most stable? The one labeled entry 2.

Entry 1
A plane-wave DFT calculation with PBE was carried out for a relaxed BaTeN2Cl crystal.

Cell lengths 5.361, 5.361, 7.223 Å; angles 90.00, 90.00, 90.00 degrees
Space group P4/mmm (No. 123)
Asymmetric unit:
Ba (0.000, 0.000, 0.000) x1
Te (0.000, 0.000, 0.500) x1
N (0.000, 0.500, 0.000) x2
Cl (0.500, 0.500, 0.500) x1

M_tot (μB/atom): 1.32
Mass density (g cm⁻³): 2.627

Entry 2
A plane-wave DFT calculation with PBE was carried out for a relaxed BaTeN2Cl crystal.

Cell lengths 4.854, 4.854, 5.197 Å; angles 90.00, 90.00, 90.00 degrees
Space group P4/mmm (No. 123)
Asymmetric unit:
Ba (0.000, 0.000, 0.000) x1
Te (0.500, 0.500, 0.000) x1
N (0.000, 0.500, 0.500) x2
Cl (0.500, 0.500, 0.500) x1

M_tot (μB/atom): 0.67
Mass density (g cm⁻³): 4.453

Which structure is the most stable? The one labeled entry 2.